Run a
First-principles (PBE-GGA) data for an optimized crystal structure of TaCrBr, as listed in the Alexandria database.

- Calculated volume: 48.1 Å³ per cell
- M_tot: 0.511 μB/f.u.
- D(E_F): 1.97 states/eV per cell

Geometry as POSCAR:
```
TaCrBr
1.0
4.2983 0.0000 0.0000
-2.1491 3.7224 0.0000
0.0000 0.0000 3.0039
Ta Cr Br
1 1 1
direct
0.0000 0.0000 0.0000
0.3333 0.6667 0.5942
0.6667 0.3333 0.5503
```


Run b
First-principles (PBE-GGA) data for an optimized crystal structure of TaCrBr, as listed in the Alexandria database.

- Calculated volume: 52.1 Å³ per cell
- M_tot: 0.259 μB/f.u.
- D(E_F): 2.51 states/eV per cell

Geometry as POSCAR:
```
TaCrBr
1.0
0.0000 2.9649 2.9649
2.9649 0.0000 2.9649
2.9649 2.9649 0.0000
Ta Cr Br
1 1 1
direct
0.0000 0.0000 0.0000
0.7500 0.7500 0.7500
0.5000 0.5000 0.5000
```


Run c
First-principles (PBE-GGA) data for an optimized crystal structure of TaCrBr, as listed in the Alexandria database.

- Calculated volume: 62.2 Å³ per cell
- M_tot: 2.174 μB/f.u.
- D(E_F): 4.02 states/eV per cell

Geometry as POSCAR:
```
TaCrBr
1.0
0.0000 3.1444 3.1444
3.1444 0.0000 3.1444
3.1444 3.1444 0.0000
Ta Cr Br
1 1 1
direct
0.0000 0.0000 0.0000
0.7500 0.7500 0.7500
0.2500 0.2500 0.2500
```


Run d
First-principles (PBE-GGA) data for an optimized crystal structure of TaCrBr, as listed in the Alexandria database.

- Calculated volume: 55.8 Å³ per cell
- M_tot: 1.193 μB/f.u.
- D(E_F): 2.56 states/eV per cell

Geometry as POSCAR:
```
TaCrBr
1.0
0.0000 2.5955 6.3102
1.7044 0.0000 6.3102
1.7044 2.5955 0.0000
Ta Cr Br
1 1 1
direct
0.0000 0.0000 0.0000
0.3615 0.3615 0.6385
0.6837 0.6837 0.3163
```


Which of them is the most stable, and which is the least stable? run d and run c, in that order.


Run a
First-principles (PBE-GGA) data for an optimized crystal structure of TaCrBr, as listed in the Alexandria database.

- Calculated volume: 55.5 Å³ per cell
- M_tot: 0.002 μB/f.u.
- D(E_F): 2.62 states/eV per cell

Geometry as POSCAR:
```
TaCrBr
1.0
3.2301 0.0000 0.0000
-1.6151 2.7974 0.0000
0.0000 0.0000 6.1423
Ta Cr Br
1 1 1
direct
0.0000 0.0000 0.0000
0.3333 0.6667 0.7341
0.6667 0.3333 0.3597
```


Run b
First-principles (PBE-GGA) data for an optimized crystal structure of TaCrBr, as listed in the Alexandria database.

- Calculated volume: 59.2 Å³ per cell
- M_tot: 3.074 μB/f.u.
- D(E_F): 2.30 states/eV per cell

Geometry as POSCAR:
```
TaCrBr
1.0
-1.5353 1.5353 6.2738
1.5353 -1.5353 6.2738
1.5353 1.5353 -6.2738
Ta Cr Br
1 1 1
direct
0.0000 0.0000 0.0000
0.6368 0.6368 0.0000
0.3514 0.3514 0.0000
```


Which of them is the most stable, and which is the least stable? run a and run b, in that order.


Run a
First-principles (PBE-GGA) data for an optimized crystal structure of CrTc3Br, as listed in the Alexandria database.

- Calculated volume: 90.3 Å³ per cell
- M_tot: 0.291 μB/f.u.
- D(E_F): 10.96 states/eV per cell

Geometry as POSCAR:
```
CrTc3Br
1.0
4.4863 0.0000 0.0000
0.0000 4.4863 0.0000
0.0000 0.0000 4.4863
Cr Tc Br
1 3 1
direct
0.0000 0.0000 0.0000
0.0000 0.5000 0.5000
0.5000 0.0000 0.5000
0.5000 0.5000 0.0000
0.5000 0.5000 0.5000
```


Run b
First-principles (PBE-GGA) data for an optimized crystal structure of CrTc3Br, as listed in the Alexandria database.

- Calculated volume: 94.0 Å³ per cell
- M_tot: 3.256 μB/f.u.
- D(E_F): 6.62 states/eV per cell

Geometry as POSCAR:
```
CrTc3Br
1.0
4.5466 0.0000 0.0000
0.0000 4.5466 0.0000
0.0000 0.0000 4.5466
Cr Tc Br
1 3 1
direct
0.0000 0.0000 0.0000
0.0000 0.0000 0.5000
0.0000 0.5000 0.0000
0.5000 0.0000 0.0000
0.5000 0.5000 0.5000
```


Which of them is the most stable, and which is the least stable? run b and run a, in that order.


Run a
First-principles (PBE-GGA) data for an optimized crystal structure of CrTe2Br, as listed in the Alexandria database.

- Calculated volume: 122.4 Å³ per cell
- M_tot: 2.823 μB/f.u.
- D(E_F): 2.08 states/eV per cell

Geometry as POSCAR:
```
CrTe2Br
1.0
1.7770 1.0260 11.1894
-1.7770 1.0260 11.1894
0.0000 -2.0519 11.1894
Cr Te Br
1 2 1
direct
0.0000 0.0000 0.0000
0.2829 0.2829 0.2829
0.5038 0.5038 0.5038
0.7147 0.7147 0.7147
```


Run b
First-principles (PBE-GGA) data for an optimized crystal structure of CrTe2Br, as listed in the Alexandria database.

- Calculated volume: 107.5 Å³ per cell
- M_tot: 3.682 μB/f.u.
- D(E_F): 2.56 states/eV per cell

Geometry as POSCAR:
```
CrTe2Br
1.0
2.8981 -5.2850 0.0000
2.8981 5.2850 0.0000
0.0000 0.0000 3.5088
Cr Te Br
1 2 1
direct
0.0000 0.0000 0.0000
0.0000 0.5000 0.5000
0.5000 0.0000 0.5000
0.5000 0.5000 0.0000
```


Run c
First-principles (PBE-GGA) data for an optimized crystal structure of CrTe2Br, as listed in the Alexandria database.

- Calculated volume: 104.0 Å³ per cell
- M_tot: 2.208 μB/f.u.
- D(E_F): 2.42 states/eV per cell

Geometry as POSCAR:
```
CrTe2Br
1.0
1.9247 1.1112 8.1044
-1.9247 1.1112 8.1044
0.0000 -2.2224 8.1044
Cr Te Br
1 2 1
direct
0.0000 0.0000 0.0000
0.2710 0.2710 0.2710
0.7290 0.7290 0.7290
0.5000 0.5000 0.5000
```


Run d
First-principles (PBE-GGA) data for an optimized crystal structure of CrTe2Br, as listed in the Alexandria database.

- Calculated volume: 101.8 Å³ per cell
- M_tot: 3.867 μB/f.u.
- D(E_F): 4.62 states/eV per cell

Geometry as POSCAR:
```
CrTe2Br
1.0
-2.6223 2.6223 3.7024
2.6223 -2.6223 3.7024
2.6223 2.6223 -3.7024
Cr Te Br
1 2 1
direct
0.0000 0.0000 0.0000
0.2500 0.7500 0.5000
0.5000 0.5000 0.0000
0.7500 0.2500 0.5000
```


Which of them is the most stable, and which is the least stable? run a and run d, in that order.


Run a
First-principles (PBE-GGA) data for an optimized crystal structure of CrTe2Br, as listed in the Alexandria database.

- Calculated volume: 116.4 Å³ per cell
- M_tot: 3.351 μB/f.u.
- D(E_F): 2.36 states/eV per cell

Geometry as POSCAR:
```
CrTe2Br
1.0
3.2520 0.0000 0.0000
0.0000 3.2520 0.0000
0.0000 0.0000 11.0101
Cr Te Br
1 2 1
direct
0.0000 0.0000 0.0000
0.0000 0.0000 0.4716
0.5000 0.5000 0.1591
0.5000 0.5000 0.8484
```


Run b
First-principles (PBE-GGA) data for an optimized crystal structure of CrTe2Br, as listed in the Alexandria database.

- Calculated volume: 111.8 Å³ per cell
- M_tot: 4.526 μB/f.u.
- D(E_F): 1.75 states/eV per cell

Geometry as POSCAR:
```
CrTe2Br
1.0
3.0741 -4.2647 0.0000
3.0741 4.2647 0.0000
-3.0650 0.0000 4.2656
Cr Te Br
1 2 1
direct
0.0000 0.0000 0.0000
0.0000 0.5000 0.5000
0.5000 0.0000 0.5000
0.5000 0.5000 0.0000
```


Run c
First-principles (PBE-GGA) data for an optimized crystal structure of CrTe2Br, as listed in the Alexandria database.

- Calculated volume: 117.9 Å³ per cell
- M_tot: 3.588 μB/f.u.
- D(E_F): 1.87 states/eV per cell

Geometry as POSCAR:
```
CrTe2Br
1.0
1.9695 -2.6322 0.0000
1.9695 2.6322 0.0000
0.0000 0.0000 11.3699
Cr Te Br
1 2 1
direct
0.0000 0.0000 0.0000
0.0000 0.0000 0.4907
0.5000 0.5000 0.1675
0.5000 0.5000 0.8522
```


Run d
First-principles (PBE-GGA) data for an optimized crystal structure of CrTe2Br, as listed in the Alexandria database.

- Calculated volume: 126.0 Å³ per cell
- M_tot: 4.678 μB/f.u.
- D(E_F): 2.62 states/eV per cell

Geometry as POSCAR:
```
CrTe2Br
1.0
-2.0821 2.0821 7.2668
2.0821 -2.0821 7.2668
2.0821 2.0821 -7.2668
Cr Te Br
1 2 1
direct
0.0000 0.0000 0.0000
0.2500 0.7500 0.5000
0.7500 0.2500 0.5000
0.5000 0.5000 0.0000
```


Which of them is the most stable, and which is the least stable? run c and run d, in that order.


Run a
First-principles (PBE-GGA) data for an optimized crystal structure of CrTe2Br, as listed in the Alexandria database.

- Calculated volume: 106.3 Å³ per cell
- M_tot: 2.987 μB/f.u.
- D(E_F): 3.83 states/eV per cell

Geometry as POSCAR:
```
CrTe2Br
1.0
-1.7266 2.6426 5.8226
1.7266 -2.6426 5.8226
1.7266 2.6426 -5.8226
Cr Te Br
1 2 1
direct
0.0000 0.0000 0.0000
0.1831 0.6831 0.5000
0.8169 0.3169 0.5000
0.5000 0.5000 0.0000
```


Run b
First-principles (PBE-GGA) data for an optimized crystal structure of CrTe2Br, as listed in the Alexandria database.

- Calculated volume: 122.6 Å³ per cell
- M_tot: 3.004 μB/f.u.
- D(E_F): 0.95 states/eV per cell

Geometry as POSCAR:
```
CrTe2Br
1.0
2.0645 1.1920 8.3065
-2.0645 1.1920 8.3065
0.0000 -2.3839 8.3065
Cr Te Br
1 2 1
direct
0.0000 0.0000 0.0000
0.3876 0.3876 0.3876
0.6124 0.6124 0.6124
0.5000 0.5000 0.5000
```


Run c
First-principles (PBE-GGA) data for an optimized crystal structure of CrTe2Br, as listed in the Alexandria database.

- Calculated volume: 124.9 Å³ per cell
- M_tot: 4.577 μB/f.u.
- D(E_F): 2.86 states/eV per cell

Geometry as POSCAR:
```
CrTe2Br
1.0
4.1651 0.0000 0.0000
0.0000 4.1651 0.0000
0.0000 0.0000 7.2012
Cr Te Br
1 2 1
direct
0.0000 0.0000 0.0000
0.0000 0.5000 0.5000
0.5000 0.0000 0.5000
0.5000 0.5000 0.0000
```


Which of them is the most stable, and which is the least stable? run b and run c, in that order.


Run a
First-principles (PBE-GGA) data for an optimized crystal structure of CrTe2Br, as listed in the Alexandria database.

- Calculated volume: 131.6 Å³ per cell
- M_tot: 2.999 μB/f.u.
- D(E_F): 0.21 states/eV per cell

Geometry as POSCAR:
```
CrTe2Br
1.0
6.2120 -1.8232 0.0000
6.2120 1.8232 0.0000
-1.8250 0.0000 5.8086
Cr Te Br
1 2 1
direct
0.0000 0.0000 0.0000
0.5387 0.5387 0.3509
0.6702 0.6702 0.0542
0.3725 0.3725 0.7477
```


Run b
First-principles (PBE-GGA) data for an optimized crystal structure of CrTe2Br, as listed in the Alexandria database.

- Calculated volume: 120.4 Å³ per cell
- M_tot: 3.352 μB/f.u.
- D(E_F): 2.13 states/eV per cell

Geometry as POSCAR:
```
CrTe2Br
1.0
4.3074 0.0000 0.0000
0.0000 3.5853 0.0000
-1.3327 0.0000 7.7935
Cr Te Br
1 2 1
direct
0.0000 0.0000 0.0000
0.5010 0.5000 0.8820
0.8081 0.0000 0.6494
0.1552 0.5000 0.2366
```


Run c
First-principles (PBE-GGA) data for an optimized crystal structure of CrTe2Br, as listed in the Alexandria database.

- Calculated volume: 96.1 Å³ per cell
- M_tot: 2.833 μB/f.u.
- D(E_F): 3.36 states/eV per cell

Geometry as POSCAR:
```
CrTe2Br
1.0
0.0000 3.6352 3.6352
3.6352 0.0000 3.6352
3.6352 3.6352 0.0000
Cr Te Br
1 2 1
direct
0.0000 0.0000 0.0000
0.2500 0.2500 0.2500
0.7500 0.7500 0.7500
0.5000 0.5000 0.5000
```


Which of them is the most stable, and which is the least stable? run a and run c, in that order.


Run a
First-principles (PBE-GGA) data for an optimized crystal structure of Cr2TeBr, as listed in the Alexandria database.

- Calculated volume: 108.4 Å³ per cell
- M_tot: 9.000 μB/f.u.
- D(E_F): 2.00 states/eV per cell

Geometry as POSCAR:
```
Cr2TeBr
1.0
1.9812 -3.5686 0.0000
1.9812 3.5686 0.0000
0.0000 0.0000 7.6664
Cr Te Br
2 1 1
direct
0.0000 0.0000 0.2442
0.0000 0.0000 0.7558
0.5000 0.5000 0.0000
0.5000 0.5000 0.5000
```


Run b
First-principles (PBE-GGA) data for an optimized crystal structure of Cr2TeBr, as listed in the Alexandria database.

- Calculated volume: 102.4 Å³ per cell
- M_tot: 9.000 μB/f.u.
- D(E_F): 2.01 states/eV per cell

Geometry as POSCAR:
```
Cr2TeBr
1.0
5.5037 0.0000 0.0000
0.0000 2.7098 3.4333
0.0000 -2.7098 3.4333
Cr Te Br
2 1 1
direct
0.0000 0.0000 0.0000
0.5000 0.3039 0.3039
0.0000 0.4036 0.4036
0.5000 0.8812 0.8812
```


Which of them is the most stable, and which is the least stable? run b and run a, in that order.


Run a
First-principles (PBE-GGA) data for an optimized crystal structure of Cr3TeBr, as listed in the Alexandria database.

- Calculated volume: 132.1 Å³ per cell
- M_tot: 14.969 μB/f.u.
- D(E_F): 2.08 states/eV per cell

Geometry as POSCAR:
```
Cr3TeBr
1.0
5.0935 0.0000 0.0000
0.0000 5.0935 0.0000
0.0000 0.0000 5.0935
Cr Te Br
3 1 1
direct
0.0000 0.0000 0.5000
0.0000 0.5000 0.0000
0.5000 0.0000 0.0000
0.5000 0.5000 0.5000
0.0000 0.0000 0.0000
```


Run b
First-principles (PBE-GGA) data for an optimized crystal structure of Cr3TeBr, as listed in the Alexandria database.

- Calculated volume: 154.0 Å³ per cell
- M_tot: 14.998 μB/f.u.
- D(E_F): 2.43 states/eV per cell

Geometry as POSCAR:
```
Cr3TeBr
1.0
5.3597 0.0000 0.0000
0.0000 5.3597 0.0000
0.0000 0.0000 5.3597
Cr Te Br
3 1 1
direct
0.0000 0.0000 0.5000
0.0000 0.5000 0.0000
0.5000 0.0000 0.0000
0.0000 0.0000 0.0000
0.5000 0.5000 0.5000
```


Which of them is the most stable, and which is the least stable? run b and run a, in that order.


Run a
First-principles (PBE-GGA) data for an optimized crystal structure of YCrTeBr2, as listed in the Alexandria database.

- Calculated volume: 136.9 Å³ per cell
- M_tot: 0.000 μB/f.u.
- D(E_F): 4.37 states/eV per cell

Geometry as POSCAR:
```
YCrTeBr2
1.0
4.6203 0.0000 0.0000
0.0000 4.6203 0.0000
0.0000 0.0000 6.4140
Y Cr Te Br
1 1 1 2
direct
0.0000 0.0000 0.0000
0.0000 0.0000 0.5000
0.5000 0.5000 0.0000
0.0000 0.5000 0.5000
0.5000 0.0000 0.5000
```


Run b
First-principles (PBE-GGA) data for an optimized crystal structure of YCrTeBr2, as listed in the Alexandria database.

- Calculated volume: 181.0 Å³ per cell
- M_tot: 5.000 μB/f.u.
- D(E_F): 1.13 states/eV per cell

Geometry as POSCAR:
```
YCrTeBr2
1.0
5.4418 0.0000 0.0000
0.0000 5.4418 0.0000
0.0000 0.0000 6.1107
Y Cr Te Br
1 1 1 2
direct
0.0000 0.0000 0.0000
0.5000 0.5000 0.5000
0.0000 0.0000 0.5000
0.0000 0.5000 0.0000
0.5000 0.0000 0.0000
```


Which of them is the most stable, and which is the least stable? run b and run a, in that order.